First-principles (GGA-PBE) data for a geometry-optimized Tb2SmDySe6 structure, as listed in the Alexandria database.

For the raw total energy, the calculation gives -5.8007 eV per atom. Its total magnetic moment is 0.00 μB per formula unit. The value obtained for the formation energy without anion corrections is -1852 meV/atom.

Cell: 7.2678 7.2678 19.5590 Å, 90.00 90.00 120.00°
Last column: nearest neighbours and their distance in Å.
Space group R3 (No. 146, hexagonal axes)
Unique sites:
Tb  0.0000  0.0000  0.0000 x3  6 Se 2.85-2.92
Tb  0.0000  0.0000  0.4982 x3  6 Se 2.86-2.92
Sm  0.0000  0.0000  0.1979 x3  6 Se 2.89-2.98
Dy  0.0000  0.0000  0.6954 x3  6 Se 2.85-2.91
Se  0.0079  0.7032  0.5973 x9  2 Tb 2.85-2.92, 1 Sm 2.89, 1 Dy 2.91
Se  0.0275  0.3601  0.7634 x9  1 Dy 2.85, 2 Tb 2.86-2.92, 1 Sm 2.98